Entry from Alexandria: a geometry-optimized Pr3NiRu structure (PBE).

a = 4.0853 Å, b = 7.9751 Å, c = 8.1697 Å
α = 93.86°, β = 90.05°, γ = 104.77°
Sites, in units of the cell vectors:
Pr 0.0565 0.1125 0.3253
Pr 0.2345 0.4687 0.6818
Pr 0.3951 0.7927 0.0653
Pr 0.6049 0.2073 0.9347
Pr 0.7655 0.5313 0.3182
Pr 0.9435 0.8875 0.6747
Ni 0.2132 0.4257 0.0631
Ni 0.7868 0.5743 0.9369
Ru 0.3987 0.7981 0.4347
Ru 0.6013 0.2019 0.5653

Summary:
Energy relative to the lowest polymorph listed for this composition ... 0.0067 eV per atom
Energy of formation from the pure elements ... -15.6 kJ per mole of atoms
Symmetry ... P-1